## AlReSb2 (PBE-GGA)

Data for crystalline AlReSb2 at its relaxed geometry.

Results
Mass density in g/cm³: 8.753
Symmetry: Cmmm, No. 65
Final energy in eV/atom: -5.49
Formation energy (no corrections) in meV/atom: 616
Volume in Å³/cell: 86.64

```
data_AlReSb2
_chemical_formula_sum 'Al1 Re1 Sb2'
_cell_length_a 3.098
_cell_length_b 3.098
_cell_length_c 10.184
_cell_angle_alpha 90.00
_cell_angle_beta 90.00
_cell_angle_gamma 117.57
_space_group_name_H-M_alt 'P 1'
_space_group_IT_number 1
_space_group_name_Hall 'P 1'
loop_
_atom_site_label
_atom_site_fract_x
_atom_site_fract_y
_atom_site_fract_z
_atom_site_occupancy
Al1 0.000 0.000 0.000 1
Re1 0.000 0.000 0.500 1
Sb1 0.500 0.500 0.282 1
Sb2 0.500 0.500 0.718 1
```

***

## CaNiW3 (PBE-GGA)

Data for crystalline CaNiW3 at its relaxed geometry.

Results
Formation energy from the elements in eV/atom: 1.484
Distance to the lowest polymorph of the same formula in meV per atom: 0
Mass density in g/cm³: 10.943
Symmetry: Pm-3m, No. 221
Final energy in eV/atom: -7.84
Volume in Å³/cell: 98.68

```
data_CaNiW3
_chemical_formula_sum 'Ca1 Ni1 W3'
_cell_length_a 4.621
_cell_length_b 4.621
_cell_length_c 4.621
_cell_angle_alpha 90.00
_cell_angle_beta 90.00
_cell_angle_gamma 90.00
_space_group_name_H-M_alt 'P 1'
_space_group_IT_number 1
_space_group_name_Hall 'P 1'
loop_
_atom_site_label
_atom_site_fract_x
_atom_site_fract_y
_atom_site_fract_z
_atom_site_occupancy
Ca1 0.000 0.000 0.000 1
Ni1 0.500 0.500 0.500 1
W1 0.000 0.500 0.500 1
W2 0.500 0.000 0.500 1
W3 0.500 0.500 0.000 1
```

***

## MgAsIr2 (PBE-GGA)

Data for crystalline MgAsIr2 at its relaxed geometry.

Results
Formation energy from the elements in eV/atom: -0.094
Distance to the lowest polymorph of the same formula in meV per atom: 95
Mass density in g/cm³: 13.296
Symmetry: Fm-3m, No. 225
Final energy in eV/atom: -6.09
Volume in Å³/cell: 60.40

```
data_MgAsIr2
_chemical_formula_sum 'Mg1 As1 Ir2'
_cell_length_a 4.404
_cell_length_b 4.404
_cell_length_c 4.404
_cell_angle_alpha 60.00
_cell_angle_beta 60.00
_cell_angle_gamma 60.00
_space_group_name_H-M_alt 'P 1'
_space_group_IT_number 1
_space_group_name_Hall 'P 1'
loop_
_atom_site_label
_atom_site_fract_x
_atom_site_fract_y
_atom_site_fract_z
_atom_site_occupancy
Mg1 0.000 0.000 0.000 1
As1 0.500 0.500 0.500 1
Ir1 0.250 0.250 0.250 1
Ir2 0.750 0.750 0.750 1
```

***

## ThBi2H (PBE-GGA)

Data for crystalline ThBi2H at its relaxed geometry.

Results
Mass density in g/cm³: 9.928
Symmetry: Cm, No. 8
Final energy in eV/atom: -4.87
Volume in Å³/cell: 108.89

```
data_ThBi2H
_chemical_formula_sum 'Th1 Bi2 H1'
_cell_length_a 3.802
_cell_length_b 3.802
_cell_length_c 8.971
_cell_angle_alpha 102.16
_cell_angle_beta 102.16
_cell_angle_gamma 59.98
_space_group_name_H-M_alt 'P 1'
_space_group_IT_number 1
_space_group_name_Hall 'P 1'
loop_
_atom_site_label
_atom_site_fract_x
_atom_site_fract_y
_atom_site_fract_z
_atom_site_occupancy
Th1 0.000 0.000 0.000 1
Bi1 0.232 0.232 0.694 1
Bi2 0.437 0.437 0.311 1
H1 0.674 0.674 0.021 1
```

***

## PaAs2PtRh2 (PBE-GGA)

Data for crystalline PaAs2PtRh2 at its relaxed geometry.

Results
Formation energy from the elements in eV/atom: -0.608
Mass density in g/cm³: 12.105
Symmetry: Pmc2_1, No. 26
Final energy in eV/atom: -7.20
Volume in Å³/cell: 214.49

```
data_PaAs2PtRh2
_chemical_formula_sum 'Pa2 As4 Pt2 Rh4'
_cell_length_a 3.698
_cell_length_b 8.914
_cell_length_c 6.507
_cell_angle_alpha 90.00
_cell_angle_beta 90.00
_cell_angle_gamma 90.00
_space_group_name_H-M_alt 'P 1'
_space_group_IT_number 1
_space_group_name_Hall 'P 1'
loop_
_atom_site_label
_atom_site_fract_x
_atom_site_fract_y
_atom_site_fract_z
_atom_site_occupancy
Pa1 0.000 0.065 0.000 1
Pa2 0.000 0.935 0.500 1
As1 0.000 0.400 0.777 1
As2 0.000 0.600 0.277 1
As3 0.500 0.188 0.301 1
As4 0.500 0.812 0.801 1
Pt1 0.500 0.176 0.699 1
Pt2 0.500 0.824 0.199 1
Rh1 0.000 0.350 0.408 1
Rh2 0.000 0.650 0.908 1
Rh3 0.500 0.386 0.034 1
Rh4 0.500 0.614 0.534 1
```

***

## LaTi6O12 (PBE-GGA)

Data for crystalline LaTi6O12 at its relaxed geometry.

Results
Mass density in g/cm³: 4.594
Symmetry: C2/m, No. 12
Final energy in eV/atom: -8.89
Formation energy (no corrections) in meV/atom: -3008
Volume in Å³/cell: 446.85

```
data_LaTi6O12
_chemical_formula_sum 'La2 Ti12 O24'
_cell_length_a 8.266
_cell_length_b 8.266
_cell_length_c 9.782
_cell_angle_alpha 124.84
_cell_angle_beta 124.84
_cell_angle_gamma 65.78
_space_group_name_H-M_alt 'P 1'
_space_group_IT_number 1
_space_group_name_Hall 'P 1'
loop_
_atom_site_label
_atom_site_fract_x
_atom_site_fract_y
_atom_site_fract_z
_atom_site_occupancy
La1 0.230 0.770 0.000 1
La2 0.770 0.230 0.000 1
Ti1 0.021 0.692 0.530 1
Ti2 0.167 0.498 0.186 1
Ti3 0.173 0.173 0.823 1
Ti4 0.308 0.979 0.470 1
Ti5 0.357 0.357 0.539 1
Ti6 0.498 0.167 0.186 1
Ti7 0.502 0.833 0.814 1
Ti8 0.643 0.643 0.461 1
Ti9 0.692 0.021 0.530 1
Ti10 0.827 0.827 0.177 1
Ti11 0.833 0.502 0.814 1
Ti12 0.979 0.308 0.470 1
O1 0.120 0.787 0.271 1
O2 0.138 0.479 0.948 1
O3 0.149 0.149 0.607 1
O4 0.155 0.155 0.340 1
O5 0.178 0.521 0.671 1
O6 0.186 0.516 0.397 1
O7 0.195 0.195 0.054 1
O8 0.213 0.880 0.729 1
O9 0.454 0.454 0.275 1
O10 0.479 0.138 0.948 1
O11 0.479 0.822 0.329 1
O12 0.484 0.814 0.603 1
O13 0.516 0.186 0.397 1
O14 0.521 0.178 0.671 1
O15 0.521 0.862 0.052 1
O16 0.546 0.546 0.725 1
O17 0.787 0.120 0.271 1
O18 0.805 0.805 0.946 1
O19 0.814 0.484 0.603 1
O20 0.822 0.479 0.329 1
O21 0.845 0.845 0.660 1
O22 0.851 0.851 0.393 1
O23 0.862 0.521 0.052 1
O24 0.880 0.213 0.729 1
```

***

## ReBMo (PBE-GGA)

Data for crystalline ReBMo at its relaxed geometry.

Results
Formation energy from the elements in eV/atom: -0.135
Distance to the lowest polymorph of the same formula in meV per atom: 174
Mass density in g/cm³: 12.791
Symmetry: C2/m, No. 12
Final energy in eV/atom: -10.12
Volume in Å³/cell: 76.06

```
data_ReBMo
_chemical_formula_sum 'Re2 B2 Mo2'
_cell_length_a 5.590
_cell_length_b 5.590
_cell_length_c 5.309
_cell_angle_alpha 118.18
_cell_angle_beta 118.18
_cell_angle_gamma 31.76
_space_group_name_H-M_alt 'P 1'
_space_group_IT_number 1
_space_group_name_Hall 'P 1'
loop_
_atom_site_label
_atom_site_fract_x
_atom_site_fract_y
_atom_site_fract_z
_atom_site_occupancy
Re1 0.122 0.122 0.459 1
Re2 0.878 0.878 0.541 1
B1 0.249 0.249 0.249 1
B2 0.751 0.751 0.751 1
Mo1 0.384 0.384 0.053 1
Mo2 0.616 0.616 0.947 1
```

***

## RbCrSnCl6 (PBE-GGA)

Data for crystalline RbCrSnCl6 at its relaxed geometry.

Results
Mass density in g/cm³: 2.641
Symmetry: P312, No. 149
Final energy in eV/atom: -4.13
Formation energy (no corrections) in meV/atom: -1276
Volume in Å³/cell: 294.86

```
data_RbCrSnCl6
_chemical_formula_sum 'Rb1 Cr1 Sn1 Cl6'
_cell_length_a 6.950
_cell_length_b 6.950
_cell_length_c 7.048
_cell_angle_alpha 90.00
_cell_angle_beta 90.00
_cell_angle_gamma 120.00
_space_group_name_H-M_alt 'P 1'
_space_group_IT_number 1
_space_group_name_Hall 'P 1'
loop_
_atom_site_label
_atom_site_fract_x
_atom_site_fract_y
_atom_site_fract_z
_atom_site_occupancy
Rb1 0.000 0.000 0.000 1
Cr1 0.667 0.333 0.500 1
Sn1 0.333 0.667 0.500 1
Cl1 0.395 0.052 0.698 1
Cl2 0.395 0.343 0.302 1
Cl3 0.657 0.052 0.302 1
Cl4 0.657 0.605 0.698 1
Cl5 0.948 0.343 0.698 1
Cl6 0.948 0.605 0.302 1
```

***

Question: Which formula does entry 1 have?
Answer: AlReSb2